No. 1
# Ac5PrY

A relaxed structure of Ac5PrY (PBE, the Alexandria database).

* crystal system: monoclinic
* formation energy: 3.50 kcal/mol of atoms

The structure in CIF format:
```
data_Ac5PrY
_chemical_formula_sum 'Ac20 Pr4 Y4'
_space_group_name_H-M_alt 'C 1 2/c 1'
_space_group_IT_number 15
_cell_length_a 7.7719
_cell_length_b 24.4427
_cell_length_c 7.1474
_cell_angle_alpha 90.00
_cell_angle_beta 117.07
_cell_angle_gamma 90.00
loop_
_space_group_symop_operation_xyz
'x,y,z'
'-x,-y,-z'
'-x,y,-z+1/2'
'x,-y,z+1/2'
'x+1/2,y+1/2,z'
'-x+1/2,-y+1/2,-z'
'-x+1/2,y+1/2,-z+1/2'
'x+1/2,-y+1/2,z+1/2'
loop_
_atom_site_label
_atom_site_type_symbol
_atom_site_fract_x
_atom_site_fract_y
_atom_site_fract_z
Ac1 Ac 0.0000 0.1252 0.2500
Ac2 Ac 0.2436 0.2206 0.7518
Ac3 Ac 0.2445 0.0287 0.9873
Pr1 Pr 0.0000 0.4017 0.2500
Y1 Y 0.0000 0.3484 0.7500
```

No. 2
# Ac2Pr7Y

A relaxed structure of Ac2Pr7Y (PBE, the Alexandria database).

* crystal system: triclinic
* formation energy: 0.51 kcal/mol of atoms

The structure in CIF format:
```
data_Ac2Pr7Y
_chemical_formula_sum 'Ac2 Pr7 Y1'
_space_group_name_H-M_alt 'P -1'
_space_group_IT_number 2
_cell_length_a 6.4870
_cell_length_b 6.5090
_cell_length_c 9.9464
_cell_angle_alpha 102.44
_cell_angle_beta 108.90
_cell_angle_gamma 99.72
loop_
_space_group_symop_operation_xyz
'x,y,z'
'-x,-y,-z'
loop_
_atom_site_label
_atom_site_type_symbol
_atom_site_fract_x
_atom_site_fract_y
_atom_site_fract_z
Ac1 Ac 0.2017 0.1031 0.2043
Pr1 Pr 0.0000 0.5000 0.0000
Pr2 Pr 0.1972 0.5939 0.6966
Pr3 Pr 0.3997 0.7020 0.4002
Pr4 Pr 0.4020 0.2030 0.8983
Y1 Y 0.0000 0.0000 0.5000
```

No. 3
# Ac4Pr8Y

A relaxed structure of Ac4Pr8Y (PBE, the Alexandria database).

* crystal system: trigonal
* formation energy: 11.40 kcal/mol of atoms

The structure in CIF format:
```
data_Ac4Pr8Y
_chemical_formula_sum 'Ac12 Pr24 Y3'
_space_group_name_H-M_alt 'R -3 m'
_space_group_IT_number 166
_space_group_name_Hall '-R 3 2"'
_cell_length_a 11.6477
_cell_length_b 11.6477
_cell_length_c 14.3402
_cell_angle_alpha 90.00
_cell_angle_beta 90.00
_cell_angle_gamma 120.00
loop_
_atom_site_label
_atom_site_type_symbol
_atom_site_fract_x
_atom_site_fract_y
_atom_site_fract_z
Ac1 Ac 0.0000 0.0000 0.0000
Ac2 Ac 0.0000 0.5000 0.0000
Pr1 Pr 0.0000 0.0000 0.2420
Pr2 Pr 0.0113 0.5057 0.7481
Y1 Y 0.0000 0.0000 0.5000
```

No. 4
# AcPr9Y2

A relaxed structure of AcPr9Y2 (PBE, the Alexandria database).

* crystal system: tetragonal
* formation energy: 0.43 kcal/mol of atoms

The structure in CIF format:
```
data_AcPr9Y2
_chemical_formula_sum 'Ac1 Pr9 Y2'
_space_group_name_H-M_alt 'P 4/m m m'
_space_group_IT_number 123
_space_group_name_Hall '-P 4 2'
_cell_length_a 5.2511
_cell_length_b 5.2511
_cell_length_c 15.7687
_cell_angle_alpha 90.00
_cell_angle_beta 90.00
_cell_angle_gamma 90.00
loop_
_atom_site_label
_atom_site_type_symbol
_atom_site_fract_x
_atom_site_fract_y
_atom_site_fract_z
Ac1 Ac 0.0000 0.0000 0.0000
Pr1 Pr 0.0000 0.5000 0.1730
Pr2 Pr 0.0000 0.5000 0.5000
Pr3 Pr 0.5000 0.5000 0.0000
Pr4 Pr 0.5000 0.5000 0.3378
Y1 Y 0.0000 0.0000 0.3365
```

No. 5
# AcPr2Y3

A relaxed structure of AcPr2Y3 (PBE, the Alexandria database).

* crystal system: orthorhombic
* formation energy: 9.72 kcal/mol of atoms

The structure in CIF format:
```
data_AcPr2Y3
_chemical_formula_sum 'Ac2 Pr4 Y6'
_space_group_name_H-M_alt 'I m m 2'
_space_group_IT_number 44
_cell_length_a 3.4891
_cell_length_b 10.3939
_cell_length_c 12.1836
_cell_angle_alpha 90.00
_cell_angle_beta 90.00
_cell_angle_gamma 90.00
loop_
_space_group_symop_operation_xyz
'x,y,z'
'-x,-y,z'
'-x,y,z'
'x,-y,z'
'x+1/2,y+1/2,z+1/2'
'-x+1/2,-y+1/2,z+1/2'
'-x+1/2,y+1/2,z+1/2'
'x+1/2,-y+1/2,z+1/2'
loop_
_atom_site_label
_atom_site_type_symbol
_atom_site_fract_x
_atom_site_fract_y
_atom_site_fract_z
Ac1 Ac 0.0000 0.0000 0.0000
Pr1 Pr 0.0000 0.3373 0.0045
Y1 Y 0.0000 0.1691 0.2569
Y2 Y 0.0000 0.5000 0.2461
```

No. 6
# Ac3Pr7Y2

A relaxed structure of Ac3Pr7Y2 (PBE, the Alexandria database).

* crystal system: monoclinic
* formation energy: 4.82 kcal/mol of atoms

The structure in CIF format:
```
data_Ac3Pr7Y2
_chemical_formula_sum 'Ac3 Pr7 Y2'
_space_group_name_H-M_alt 'P 1 2/m 1'
_space_group_IT_number 10
_cell_length_a 3.8102
_cell_length_b 5.9085
_cell_length_c 21.2354
_cell_angle_alpha 90.00
_cell_angle_beta 95.17
_cell_angle_gamma 90.00
loop_
_space_group_symop_operation_xyz
'x,y,z'
'-x,-y,-z'
'-x,y,-z'
'x,-y,z'
loop_
_atom_site_label
_atom_site_type_symbol
_atom_site_fract_x
_atom_site_fract_y
_atom_site_fract_z
Ac1 Ac 0.0000 0.0000 0.0000
Ac2 Ac 0.3220 0.5000 0.6474
Pr1 Pr 0.0910 0.5000 0.1770
Pr2 Pr 0.2181 0.0000 0.4362
Pr3 Pr 0.4274 0.0000 0.8584
Pr4 Pr 0.5000 0.5000 0.0000
Y1 Y 0.1420 0.0000 0.2799
```

No. 7
# Ac7Pr6Y16

A relaxed structure of Ac7Pr6Y16 (PBE, the Alexandria database).

* crystal system: cubic
* formation energy: 6.29 kcal/mol of atoms

The structure in CIF format:
```
data_Ac7Pr6Y16
_chemical_formula_sum 'Ac28 Pr24 Y64'
_space_group_name_H-M_alt 'F m -3 m'
_space_group_IT_number 225
_space_group_name_Hall '-F 4 2 3'
_cell_length_a 16.5742
_cell_length_b 16.5742
_cell_length_c 16.5742
_cell_angle_alpha 90.00
_cell_angle_beta 90.00
_cell_angle_gamma 90.00
loop_
_atom_site_label
_atom_site_type_symbol
_atom_site_fract_x
_atom_site_fract_y
_atom_site_fract_z
Ac1 Ac 0.0000 0.0000 0.0000
Ac2 Ac 0.0000 0.2500 0.2500
Pr1 Pr 0.0000 0.0000 0.2478
Y1 Y 0.1299 0.1299 0.1299
Y2 Y 0.1544 0.1544 0.3456
```

No. 8
# Ac7Pr3Y2

A relaxed structure of Ac7Pr3Y2 (PBE, the Alexandria database).

* crystal system: monoclinic
* formation energy: 2.37 kcal/mol of atoms

The structure in CIF format:
```
data_Ac7Pr3Y2
_chemical_formula_sum 'Ac7 Pr3 Y2'
_space_group_name_H-M_alt 'P 1 2/m 1'
_space_group_IT_number 10
_cell_length_a 6.9843
_cell_length_b 3.7825
_cell_length_c 18.6270
_cell_angle_alpha 90.00
_cell_angle_beta 96.17
_cell_angle_gamma 90.00
loop_
_space_group_symop_operation_xyz
'x,y,z'
'-x,-y,-z'
'-x,y,-z'
'x,-y,z'
loop_
_atom_site_label
_atom_site_type_symbol
_atom_site_fract_x
_atom_site_fract_y
_atom_site_fract_z
Ac1 Ac 0.0000 0.0000 0.0000
Ac2 Ac 0.2284 0.5000 0.1756
Ac3 Ac 0.2542 0.5000 0.4947
Ac4 Ac 0.2729 0.0000 0.8291
Pr1 Pr 0.4600 0.0000 0.3411
Pr2 Pr 0.5000 0.5000 0.0000
Y1 Y 0.0560 0.5000 0.6686
```

No. 9
# Ac3Pr2Y4

A relaxed structure of Ac3Pr2Y4 (PBE, the Alexandria database).

* crystal system: monoclinic
* formation energy: 0.63 kcal/mol of atoms

The structure in CIF format:
```
data_Ac3Pr2Y4
_chemical_formula_sum 'Ac6 Pr4 Y8'
_space_group_name_H-M_alt 'C 1 2/m 1'
_space_group_IT_number 12
_cell_length_a 19.4435
_cell_length_b 3.7985
_cell_length_c 10.0288
_cell_angle_alpha 90.00
_cell_angle_beta 115.55
_cell_angle_gamma 90.00
loop_
_space_group_symop_operation_xyz
'x,y,z'
'-x,-y,-z'
'-x,y,-z'
'x,-y,z'
'x+1/2,y+1/2,z'
'-x+1/2,-y+1/2,-z'
'-x+1/2,y+1/2,-z'
'x+1/2,-y+1/2,z'
loop_
_atom_site_label
_atom_site_type_symbol
_atom_site_fract_x
_atom_site_fract_y
_atom_site_fract_z
Ac1 Ac 0.0000 0.0000 0.0000
Ac2 Ac 0.1464 0.0000 0.6629
Pr1 Pr 0.1682 0.5000 0.0092
Y1 Y 0.0204 0.5000 0.3303
Y2 Y 0.1839 0.0000 0.3373
```

No. 10
# AcPr3Y2

A relaxed structure of AcPr3Y2 (PBE, the Alexandria database).

* crystal system: orthorhombic
* formation energy: 7.96 kcal/mol of atoms

The structure in CIF format:
```
data_AcPr3Y2
_chemical_formula_sum 'Ac2 Pr6 Y4'
_space_group_name_H-M_alt 'I m m m'
_space_group_IT_number 71
_space_group_name_Hall '-I 2 2'
_cell_length_a 3.5699
_cell_length_b 6.2503
_cell_length_c 19.9958
_cell_angle_alpha 90.00
_cell_angle_beta 90.00
_cell_angle_gamma 90.00
loop_
_atom_site_label
_atom_site_type_symbol
_atom_site_fract_x
_atom_site_fract_y
_atom_site_fract_z
Ac1 Ac 0.0000 0.0000 0.0000
Pr1 Pr 0.0000 0.0000 0.1913
Pr2 Pr 0.0000 0.5000 0.0000
Y1 Y 0.0000 0.0000 0.3617
```

No. 11
# AcPr4Y6

A relaxed structure of AcPr4Y6 (PBE, the Alexandria database).

* crystal system: tetragonal
* formation energy: 7.64 kcal/mol of atoms

The structure in CIF format:
```
data_AcPr4Y6
_chemical_formula_sum 'Ac2 Pr8 Y12'
_space_group_name_H-M_alt 'I -4 2 m'
_space_group_IT_number 121
_space_group_name_Hall 'I -4 2'
_cell_length_a 6.8147
_cell_length_b 6.8147
_cell_length_c 17.2701
_cell_angle_alpha 90.00
_cell_angle_beta 90.00
_cell_angle_gamma 90.00
loop_
_atom_site_label
_atom_site_type_symbol
_atom_site_fract_x
_atom_site_fract_y
_atom_site_fract_z
Ac1 Ac 0.0000 0.0000 0.0000
Pr1 Pr 0.1913 0.1913 0.8225
Y1 Y 0.0000 0.5000 0.0000
Y2 Y 0.1780 0.1780 0.6237
```

No. 12
# AcPr12Y5

A relaxed structure of AcPr12Y5 (PBE, the Alexandria database).

* crystal system: orthorhombic
* formation energy: 0.49 kcal/mol of atoms

The structure in CIF format:
```
data_AcPr12Y5
_chemical_formula_sum 'Ac2 Pr24 Y10'
_space_group_name_H-M_alt 'C m m m'
_space_group_IT_number 65
_space_group_name_Hall '-C 2 2'
_cell_length_a 15.6393
_cell_length_b 15.6893
_cell_length_c 5.2244
_cell_angle_alpha 90.00
_cell_angle_beta 90.00
_cell_angle_gamma 90.00
loop_
_atom_site_label
_atom_site_type_symbol
_atom_site_fract_x
_atom_site_fract_y
_atom_site_fract_z
Ac1 Ac 0.0000 0.0000 0.0000
Pr1 Pr 0.1643 0.5000 0.0000
Pr2 Pr 0.1646 0.3340 0.5000
Pr3 Pr 0.1674 0.1686 0.0000
Pr4 Pr 0.1702 0.0000 0.5000
Y1 Y 0.0000 0.1702 0.5000
Y2 Y 0.0000 0.3333 0.0000
Y3 Y 0.0000 0.5000 0.5000
```

Sequential V output: 1209 375 1685 435 442 476 4553 489 668 446 802 1282 Å³/cell
Sequential raw total energy output: -122.9 -47.9 -164.1 -59.8 -61.1 -56.2 -611.8 -54.8 -95.0 -58.6 -116.7 -186.8 eV for the cell shown